1.
Computed, not measured: a relaxed structure of V2CrHPt at the PBE level of DFT.

As for the space group: P4/mmm, No. 123. Its total energy is -7.6830 eV/atom. The calculation puts the density at 10.357 Mg/m³.

```
V2CrHPt
1.0
3.8765 0.0000 0.0000
0.0000 3.8765 0.0000
0.0000 0.0000 3.7338
Cr H Pt V
1 1 1 2
Direct
0.0000 0.0000 0.5000
0.0000 0.0000 0.0000
0.5000 0.5000 0.5000
0.0000 0.5000 0.0000
0.5000 0.0000 0.0000
```

2.
Computed, not measured: a relaxed structure of PrGa2CuPd at the PBE level of DFT.

As for the space group: I-4m2, No. 119. Its total energy is -4.6117 eV/atom. The calculation puts the density at 7.797 Mg/m³. The formation energy comes out at -283 kJ/mol of formula units.

```
PrGa2CuPd
1.0
4.3453 0.0000 0.0000
0.0000 4.3453 0.0000
-2.1727 -2.1727 5.0791
Pr Ga Cu Pd
1 2 1 1
Direct
0.0000 0.0000 0.0000
0.6266 0.6266 0.2532
0.3734 0.3734 0.7468
0.2500 0.7500 0.5000
0.7500 0.2500 0.5000
```